Entry 1:
Computed, not measured: CsGa2Pd after structural relaxation at the GGA-PBE level of DFT.

a b c (Å): 4.414 4.414 7.261
angles (deg): 72.30 72.30 60.00
Positions (direct):
Ga 0.810 0.810 0.570
Ga 0.190 0.190 0.430
Cs 0.000 0.000 0.000
Pd 0.500 0.500 0.500

E (eV per atom): -3.361
Formation energy from the elements (meV per atom): -336

---

Entry 2:
Computed, not measured: CsGaPd3 after structural relaxation at the GGA-PBE level of DFT.

a b c (Å): 5.316 5.316 5.316
angles (deg): 90.00 90.00 90.00
Positions (direct):
Ga 0.500 0.500 0.500
Pd 0.000 0.000 0.500
Pd 0.500 0.000 0.000
Pd 0.000 0.500 0.000
Cs 0.000 0.000 0.000

Relative energy among the computed polymorphs (meV/atom): 1215
E (eV per atom): -2.615
Formation energy from the elements (meV per atom): 1277

---

Entry 3:
Computed, not measured: CsGa3Pd after structural relaxation at the GGA-PBE level of DFT.

a b c (Å): 5.061 5.061 5.061
angles (deg): 90.00 90.00 90.00
Positions (direct):
Ga 0.000 0.500 0.000
Ga 0.000 0.000 0.500
Ga 0.500 0.000 0.000
Pd 0.000 0.000 0.000
Cs 0.500 0.500 0.500

Relative energy among the computed polymorphs (meV/atom): 0
E (eV per atom): -3.116
Formation energy from the elements (meV per atom): -91

---

Entry 4:
Computed, not measured: CsGa2Pd after structural relaxation at the GGA-PBE level of DFT.

a b c (Å): 3.381 3.381 8.551
angles (deg): 90.00 90.00 90.00
Positions (direct):
Ga 0.000 0.000 0.837
Ga 0.000 0.000 0.163
Pd 0.500 0.500 0.000
Cs 0.500 0.500 0.500

E (eV per atom): -3.169
Formation energy from the elements (meV per atom): -144

---

Entry 5:
Computed, not measured: CsGaPd3 after structural relaxation at the GGA-PBE level of DFT.

a b c (Å): 4.904 4.904 4.904
angles (deg): 90.00 90.00 90.00
Positions (direct):
Ga 0.000 0.000 0.000
Cs 0.500 0.500 0.500
Pd 0.500 0.000 0.000
Pd 0.000 0.000 0.500
Pd 0.000 0.500 0.000

Relative energy among the computed polymorphs (meV/atom): 0
E (eV per atom): -3.830
Formation energy from the elements (meV per atom): 61

---

Entry 6:
Computed, not measured: CsGa2Pd2 after structural relaxation at the GGA-PBE level of DFT.

a b c (Å): 8.299 8.299 3.116
angles (deg): 90.00 90.00 90.00
Positions (direct):
Ga 0.380 0.120 0.500
Ga 0.880 0.380 0.500
Ga 0.120 0.620 0.500
Ga 0.620 0.880 0.500
Pd 0.355 0.855 0.000
Pd 0.645 0.145 0.000
Pd 0.855 0.645 0.000
Pd 0.145 0.355 0.000
Cs 0.000 0.000 0.000
Cs 0.500 0.500 0.000

Relative energy among the computed polymorphs (meV/atom): 197
E (eV per atom): -3.596
Formation energy from the elements (meV per atom): -138

---

Q: The lowest E belongs to which entry?
A: number 5